First-principles (PBE-GGA) data for a relaxed structure of InSbI2Br, as listed in the Alexandria database.

Cell and atoms, written as POSCAR:
```
InSbI2Br
1.0
5.7498 0.0000 0.0000
0.0000 5.7498 0.0000
0.0000 0.0000 6.0710
In Sb I Br
1 1 2 1
Direct
0.0000 0.0000 0.0000
0.0000 0.0000 0.5000
0.0000 0.5000 0.0000
0.5000 0.0000 0.0000
0.5000 0.5000 0.5000
```

Results
Polymorph energy (0 for the lowest one)   0 meV/atom
Space group   No. 123
Total DFT energy (no corrections)   -2.1020 eV per atom
Energy relative to the elements, uncorrected   0.22 eV per atom